Entry 1:
VASP calculation (PBE) on SrUAlO5 after structural relaxation.

Lattice parameters (Å, degrees): 5.963 5.963 7.881 103.96 103.96 106.55
Sites, in units of the cell vectors:
Sr 0.163 0.837 0.750
Sr 0.837 0.163 0.250
U 0.500 0.500 0.000
U 0.500 0.500 0.500
Al 0.184 0.816 0.250
Al 0.816 0.184 0.750
O 0.120 0.248 0.903
O 0.191 0.607 0.380
O 0.248 0.120 0.403
O 0.393 0.809 0.120
O 0.418 0.582 0.750
O 0.582 0.418 0.250
O 0.607 0.191 0.880
O 0.752 0.880 0.597
O 0.809 0.393 0.620
O 0.880 0.752 0.097

Output
**Crystal system**: monoclinic
**ΔE_f (raw)**: -3.1617 eV per atom
**Total moment**: 2.0 μB/cell


Entry 2:
VASP calculation (PBE) on SrUAl2O8 after structural relaxation.

Lattice parameters (Å, degrees): 4.706 4.716 7.218 89.31 88.91 85.65
Sites, in units of the cell vectors:
Sr 0.000 0.000 0.000
U 0.000 0.000 0.500
Al 0.489 0.488 0.308
Al 0.511 0.512 0.692
O 0.194 0.771 0.712
O 0.227 0.801 0.286
O 0.317 0.314 0.506
O 0.410 0.398 0.054
O 0.590 0.602 0.946
O 0.683 0.686 0.494
O 0.773 0.199 0.714
O 0.806 0.229 0.288

Output
**Crystal system**: triclinic
**ΔE_f (raw)**: -2.6431 eV per atom
**Total moment**: 0.0 μB/cell


Entry 3:
VASP calculation (PBE) on Sr2UAlO6 after structural relaxation.

Lattice parameters (Å, degrees): 5.756 5.756 5.756 60.00 60.00 60.00
Sites, in units of the cell vectors:
Sr 0.250 0.250 0.250
Sr 0.750 0.750 0.750
U 0.000 0.000 0.000
Al 0.500 0.500 0.500
O 0.263 0.263 0.737
O 0.263 0.737 0.263
O 0.263 0.737 0.737
O 0.737 0.263 0.263
O 0.737 0.263 0.737
O 0.737 0.737 0.263

Output
**Crystal system**: cubic
**ΔE_f (raw)**: -3.1051 eV per atom
**Total moment**: 1.0 μB/cell


Entry 4:
VASP calculation (PBE) on Sr3UAl2O9 after structural relaxation.

Lattice parameters (Å, degrees): 5.586 5.586 7.011 90.00 90.00 120.00
Sites, in units of the cell vectors:
Sr 0.000 0.000 0.000
Sr 0.333 0.667 0.706
Sr 0.667 0.333 0.294
U 0.000 0.000 0.500
Al 0.333 0.667 0.145
Al 0.667 0.333 0.855
O 0.000 0.500 0.000
O 0.172 0.345 0.322
O 0.172 0.828 0.322
O 0.345 0.172 0.678
O 0.500 0.000 0.000
O 0.500 0.500 0.000
O 0.655 0.828 0.322
O 0.828 0.172 0.678
O 0.828 0.655 0.678

Output
**Crystal system**: trigonal
**ΔE_f (raw)**: -3.0470 eV per atom
**Total moment**: 0.0 μB/cell


Entry 5:
VASP calculation (PBE) on SrUAlO6 after structural relaxation.

Lattice parameters (Å, degrees): 5.321 5.321 10.806 90.00 90.00 120.00
Sites, in units of the cell vectors:
Sr 0.000 0.000 0.000
Sr 0.000 0.000 0.500
U 0.333 0.667 0.250
U 0.667 0.333 0.750
Al 0.333 0.667 0.750
Al 0.667 0.333 0.250
O 0.020 0.381 0.650
O 0.020 0.639 0.850
O 0.361 0.381 0.850
O 0.361 0.980 0.650
O 0.381 0.020 0.150
O 0.381 0.361 0.350
O 0.619 0.639 0.650
O 0.619 0.980 0.850
O 0.639 0.020 0.350
O 0.639 0.619 0.150
O 0.980 0.361 0.150
O 0.980 0.619 0.350

Output
**Crystal system**: trigonal
**ΔE_f (raw)**: -2.8038 eV per atom
**Total moment**: 2.0 μB/cell


Q: Number 1 is which compound?
A: SrUAlO5


Q: Among the records above, which one has the highest ΔE_f (raw)?
A: SrUAl2O8